## K3Ge4Pd7 (PBE-GGA)

Data for a relaxed K3Ge4Pd7 crystal.

The structure in CIF format:
```
data_K3Ge4Pd7
_chemical_formula_sum 'K6 Ge8 Pd14'
_cell_length_a 16.816
_cell_length_b 4.219
_cell_length_c 11.553
_cell_angle_alpha 90.00
_cell_angle_beta 132.64
_cell_angle_gamma 90.00
_space_group_name_H-M_alt 'C 1 2/m 1'
_space_group_IT_number 12
loop_
_space_group_symop_operation_xyz
'x,y,z'
'-x,-y,-z'
'-x,y,-z'
'x,-y,z'
'x+1/2,y+1/2,z'
'-x+1/2,-y+1/2,-z'
'-x+1/2,y+1/2,-z'
'x+1/2,-y+1/2,z'
loop_
_atom_site_label
_atom_site_type_symbol
_atom_site_fract_x
_atom_site_fract_y
_atom_site_fract_z
K1 K 0.000 0.000 0.000
K2 K 0.220 0.500 0.724
Ge1 Ge 0.100 0.000 0.802
Ge2 Ge 0.140 0.500 0.312
Pd1 Pd 0.000 0.000 0.500
Pd2 Pd 0.010 0.500 0.343
Pd3 Pd 0.164 0.000 0.448
Pd4 Pd 0.186 0.500 0.969
```

crystal system = monoclinic
energy relative to the elements = -0.3058 eV per atom
electronic total energy = -4.457 eV/atom
theoretical density = 6.35 Mg/m³
DOS(E_F) = 0.39 states/eV/atom


## K2GePd2 (PBE-GGA)

Data for a relaxed K2GePd2 crystal.

The structure in CIF format:
```
data_K2GePd2
_chemical_formula_sum 'K6 Ge3 Pd6'
_cell_length_a 4.3859
_cell_length_b 4.3859
_cell_length_c 30.4122
_cell_angle_alpha 90.00
_cell_angle_beta 90.00
_cell_angle_gamma 120.00
_space_group_name_H-M_alt 'R -3 m'
_space_group_IT_number 166
_space_group_name_Hall '-R 3 2"'
loop_
_atom_site_label
_atom_site_type_symbol
_atom_site_fract_x
_atom_site_fract_y
_atom_site_fract_z
K1 K 0.0000 0.0000 0.0739
Ge1 Ge 0.0000 0.0000 0.5000
Pd1 Pd 0.0000 0.0000 0.1829
```

crystal system = trigonal
energy relative to the elements = -0.2984 eV per atom
electronic total energy = -3.738 eV/atom
theoretical density = 3.58 Mg/m³
DOS(E_F) = 0.36 states/eV/atom


## K3Ge4Pd (PBE-GGA)

Data for a relaxed K3Ge4Pd crystal.

The structure in CIF format:
```
data_K3Ge4Pd
_chemical_formula_sum 'K6 Ge8 Pd2'
_cell_length_a 6.797
_cell_length_b 12.464
_cell_length_c 5.722
_cell_angle_alpha 90.00
_cell_angle_beta 90.00
_cell_angle_gamma 90.00
_space_group_name_H-M_alt 'P m m n'
_space_group_IT_number 59
loop_
_space_group_symop_operation_xyz
'x,y,z'
'-x,-y,-z'
'-x+1/2,-y+1/2,z'
'x+1/2,y+1/2,-z'
'x+1/2,-y,-z'
'-x+1/2,y,z'
'-x,y+1/2,-z'
'x,-y+1/2,z'
loop_
_atom_site_label
_atom_site_type_symbol
_atom_site_fract_x
_atom_site_fract_y
_atom_site_fract_z
K1 K 0.250 0.016 0.167
K2 K 0.250 0.250 0.572
Ge1 Ge 0.041 0.750 0.941
Ge2 Ge 0.250 0.631 0.667
Pd1 Pd 0.250 0.750 0.313
```

crystal system = orthorhombic
energy relative to the elements = -0.2540 eV per atom
electronic total energy = -3.623 eV/atom
theoretical density = 3.52 Mg/m³
DOS(E_F) = 0.07 states/eV/atom


## KGe2Pd4 (PBE-GGA)

Data for a relaxed KGe2Pd4 crystal.

The structure in CIF format:
```
data_KGe2Pd4
_chemical_formula_sum 'K2 Ge4 Pd8'
_cell_length_a 8.042
_cell_length_b 8.042
_cell_length_c 3.939
_cell_angle_alpha 90.00
_cell_angle_beta 90.00
_cell_angle_gamma 90.00
_space_group_name_H-M_alt 'P 42/m n m'
_space_group_IT_number 136
_space_group_name_Hall '-P 4n 2n'
loop_
_atom_site_label
_atom_site_type_symbol
_atom_site_fract_x
_atom_site_fract_y
_atom_site_fract_z
K1 K 0.000 0.000 0.000
Ge1 Ge 0.228 0.228 0.500
Pd1 Pd 0.082 0.663 0.500
```

crystal system = tetragonal
energy relative to the elements = -0.3860 eV per atom
electronic total energy = -4.829 eV/atom
theoretical density = 7.95 Mg/m³
DOS(E_F) = 0.43 states/eV/atom


## KGe2Pd3 (PBE-GGA)

Data for a relaxed KGe2Pd3 crystal.

The structure in CIF format:
```
data_KGe2Pd3
_chemical_formula_sum 'K4 Ge8 Pd12'
_cell_length_a 15.593
_cell_length_b 4.173
_cell_length_c 8.101
_cell_angle_alpha 90.00
_cell_angle_beta 112.47
_cell_angle_gamma 90.00
_space_group_name_H-M_alt 'C 1 2/m 1'
_space_group_IT_number 12
loop_
_space_group_symop_operation_xyz
'x,y,z'
'-x,-y,-z'
'-x,y,-z'
'x,-y,z'
'x+1/2,y+1/2,z'
'-x+1/2,-y+1/2,-z'
'-x+1/2,y+1/2,-z'
'x+1/2,-y+1/2,z'
loop_
_atom_site_label
_atom_site_type_symbol
_atom_site_fract_x
_atom_site_fract_y
_atom_site_fract_z
K1 K 0.166 0.000 0.068
Ge1 Ge 0.019 0.500 0.171
Ge2 Ge 0.172 0.000 0.625
Pd1 Pd 0.032 0.000 0.346
Pd2 Pd 0.091 0.500 0.666
Pd3 Pd 0.179 0.500 0.425
```

crystal system = monoclinic
energy relative to the elements = -0.4112 eV per atom
electronic total energy = -4.730 eV/atom
theoretical density = 6.87 Mg/m³
DOS(E_F) = 0.50 states/eV/atom


## KGePd2 (PBE-GGA)

Data for a relaxed KGePd2 crystal.

The structure in CIF format:
```
data_KGePd2
_chemical_formula_sum 'K3 Ge3 Pd6'
_cell_length_a 4.3721
_cell_length_b 4.3721
_cell_length_c 17.8387
_cell_angle_alpha 90.00
_cell_angle_beta 90.00
_cell_angle_gamma 120.00
_space_group_name_H-M_alt 'R -3 m'
_space_group_IT_number 166
_space_group_name_Hall '-R 3 2"'
loop_
_atom_site_label
_atom_site_type_symbol
_atom_site_fract_x
_atom_site_fract_y
_atom_site_fract_z
K1 K 0.0000 0.0000 0.0000
Ge1 Ge 0.0000 0.0000 0.5000
Pd1 Pd 0.0000 0.0000 0.1922
```

crystal system = trigonal
energy relative to the elements = -0.3501 eV per atom
electronic total energy = -4.375 eV/atom
theoretical density = 5.48 Mg/m³
DOS(E_F) = 0.44 states/eV/atom


## KGePd2 (PBE-GGA)

Data for a relaxed KGePd2 crystal.

The structure in CIF format:
```
data_KGePd2
_chemical_formula_sum 'K4 Ge4 Pd8'
_cell_length_a 7.696
_cell_length_b 7.696
_cell_length_c 6.644
_cell_angle_alpha 90.00
_cell_angle_beta 90.00
_cell_angle_gamma 90.00
_space_group_name_H-M_alt 'I -4 2 d'
_space_group_IT_number 122
_space_group_name_Hall 'I -4 2bw'
loop_
_atom_site_label
_atom_site_type_symbol
_atom_site_fract_x
_atom_site_fract_y
_atom_site_fract_z
K1 K 0.000 0.000 0.000
Ge1 Ge 0.000 0.000 0.500
Pd1 Pd 0.152 0.250 0.625
```

crystal system = tetragonal
energy relative to the elements = -0.0373 eV per atom
electronic total energy = -4.062 eV/atom
theoretical density = 5.48 Mg/m³
DOS(E_F) = 0.29 states/eV/atom


## KGe3Pd3 (PBE-GGA)

Data for a relaxed KGe3Pd3 crystal.

The structure in CIF format:
```
data_KGe3Pd3
_chemical_formula_sum 'K6 Ge18 Pd18'
_cell_length_a 6.9214
_cell_length_b 6.9214
_cell_length_c 24.0542
_cell_angle_alpha 90.00
_cell_angle_beta 90.00
_cell_angle_gamma 120.00
_space_group_name_H-M_alt 'R -3'
_space_group_IT_number 148
_space_group_name_Hall '-R 3'
loop_
_atom_site_label
_atom_site_type_symbol
_atom_site_fract_x
_atom_site_fract_y
_atom_site_fract_z
K1 K 0.0000 0.0000 0.1663
Ge1 Ge 0.0011 0.4136 0.6181
Pd1 Pd 0.0011 0.7651 0.6115
```

crystal system = trigonal
energy relative to the elements = -0.2619 eV per atom
electronic total energy = -4.623 eV/atom
theoretical density = 5.75 Mg/m³
DOS(E_F) = 0.29 states/eV/atom


## K2Ge7Pd12 (PBE-GGA)

Data for a relaxed K2Ge7Pd12 crystal.

The structure in CIF format:
```
data_K2Ge7Pd12
_chemical_formula_sum 'K2 Ge7 Pd12'
_cell_length_a 10.4006
_cell_length_b 10.4006
_cell_length_c 3.9071
_cell_angle_alpha 90.00
_cell_angle_beta 90.00
_cell_angle_gamma 120.00
_space_group_name_H-M_alt 'P -6'
_space_group_IT_number 174
loop_
_space_group_symop_operation_xyz
'x,y,z'
'-x+y,-x,-z'
'-y,x-y,z'
'x,y,-z'
'-x+y,-x,z'
'-y,x-y,-z'
loop_
_atom_site_label
_atom_site_type_symbol
_atom_site_fract_x
_atom_site_fract_y
_atom_site_fract_z
K1 K 0.0000 0.0000 0.0000
K2 K 0.3333 0.6667 0.5000
Ge1 Ge 0.0666 0.4495 0.0000
Ge2 Ge 0.2648 0.2250 0.5000
Ge3 Ge 0.6667 0.3333 0.0000
Pd1 Pd 0.0468 0.2802 0.5000
Pd2 Pd 0.1057 0.7133 0.0000
Pd3 Pd 0.3956 0.1822 0.0000
Pd4 Pd 0.5357 0.4334 0.5000
```

crystal system = hexagonal
energy relative to the elements = -0.4607 eV per atom
electronic total energy = -5.072 eV/atom
theoretical density = 8.46 Mg/m³
DOS(E_F) = 0.52 states/eV/atom


## KGePd3 (PBE-GGA)

Data for a relaxed KGePd3 crystal.

The structure in CIF format:
```
data_KGePd3
_chemical_formula_sum 'K2 Ge2 Pd6'
_cell_length_a 3.693
_cell_length_b 7.206
_cell_length_c 8.008
_cell_angle_alpha 90.00
_cell_angle_beta 90.00
_cell_angle_gamma 90.00
_space_group_name_H-M_alt 'P m m n'
_space_group_IT_number 59
loop_
_space_group_symop_operation_xyz
'x,y,z'
'-x,-y,-z'
'-x+1/2,-y+1/2,z'
'x+1/2,y+1/2,-z'
'x+1/2,-y,-z'
'-x+1/2,y,z'
'-x,y+1/2,-z'
'x,-y+1/2,z'
loop_
_atom_site_label
_atom_site_type_symbol
_atom_site_fract_x
_atom_site_fract_y
_atom_site_fract_z
K1 K 0.250 0.250 0.032
Ge1 Ge 0.250 0.250 0.466
Pd1 Pd 0.250 0.547 0.648
Pd2 Pd 0.250 0.750 0.318
```

crystal system = orthorhombic
energy relative to the elements = -0.2863 eV per atom
electronic total energy = -4.545 eV/atom
theoretical density = 6.72 Mg/m³
DOS(E_F) = 0.39 states/eV/atom